1.
## VReSiOs (PBE-GGA)

Data for an optimized crystal structure of VReSiOs.

E, eV/atom: -9.89
Raw formation energy, eV/atom: -0.34
Total moment, μB per formula unit: 0.00
SG: F-43m (216)

a = 5.996 Å, b = 5.996 Å, c = 5.996 Å
α = 90.00°, β = 90.00°, γ = 90.00°
Atoms (fractional coordinates):
V 0.000 0.000 0.000
V 0.000 0.500 0.500
V 0.500 0.000 0.500
V 0.500 0.500 0.000
Re 0.250 0.250 0.750
Re 0.250 0.750 0.250
Re 0.750 0.250 0.250
Re 0.750 0.750 0.750
Si 0.000 0.000 0.500
Si 0.000 0.500 0.000
Si 0.500 0.000 0.000
Si 0.500 0.500 0.500
Os 0.250 0.250 0.250
Os 0.250 0.750 0.750
Os 0.750 0.250 0.750
Os 0.750 0.750 0.250


2.
## Sm2Re3Os (PBE-GGA)

Data for an optimized crystal structure of Sm2Re3Os.

E, eV/atom: -9.75
ΔE_f, eV/atom: -0.0846
Total moment, μB per formula unit: 0.00
SG: C2/m (12)

a = 9.206 Å, b = 5.338 Å, c = 5.598 Å
α = 90.00°, β = 123.29°, γ = 90.00°
Atoms (fractional coordinates):
Sm 0.127 0.000 0.380
Sm 0.373 0.500 0.620
Sm 0.627 0.500 0.380
Sm 0.873 0.000 0.620
Re 0.000 0.500 0.000
Re 0.250 0.250 0.000
Re 0.250 0.750 0.000
Re 0.500 0.000 0.000
Re 0.750 0.250 0.000
Re 0.750 0.750 0.000
Os 0.000 0.500 0.500
Os 0.500 0.000 0.500


- Which value of total moment does entry 1 give?
  0.00 μB per formula unit